Dy6AgRh2: relaxed, PBE-GGA.

Cell and atoms, written as POSCAR:
```
Dy6AgRh2
1.0
-4.093 5.156 -5.268
-4.279 -7.061 1.705
1.131 3.662 7.509
Dy Rh Ag
12 4 2
Direct
0.694 0.022 0.328
0.804 0.237 0.040
0.306 0.978 0.672
0.463 0.283 0.179
0.196 0.237 0.433
0.537 0.717 0.821
0.104 0.283 0.821
0.306 0.634 0.328
0.196 0.763 0.960
0.804 0.763 0.567
0.694 0.366 0.672
0.896 0.717 0.179
0.500 0.369 0.869
0.500 0.631 0.131
0.666 0.000 0.666
0.334 0.000 0.334
0.000 0.500 0.500
0.000 0.000 0.000
```

Formation energy from the elements   -0.51 eV/atom
Density   9332 kg/m3
Calculated total energy   -5.525 eV/atom

Dy3Ag2Rh2: relaxed, PBE-GGA.

Cell and atoms, written as POSCAR:
```
Dy3Ag2Rh2
1.0
-3.086 -2.927 2.284
4.539 0.478 1.612
-1.865 8.108 2.845
Ag Dy Rh
2 3 2
Direct
0.787 0.393 0.181
0.213 0.607 0.819
0.436 0.218 0.652
0.564 0.782 0.348
0.000 0.000 0.000
0.212 0.106 0.318
0.788 0.894 0.682
```

Formation energy from the elements   -0.42 eV/atom
Density   8941 kg/m3
Calculated total energy   -5.307 eV/atom

Dy2AgRh: relaxed, PBE-GGA.

Cell and atoms, written as POSCAR:
```
Dy2AgRh
1.0
-0.755 -2.281 2.561
-2.404 -1.518 -2.061
4.985 -4.476 -2.516
Ag Dy Rh
1 2 1
Direct
0.500 0.500 0.500
0.000 0.000 0.770
0.000 0.000 0.230
0.500 0.500 0.000
```

Formation energy from the elements   -0.60 eV/atom
Density   10082 kg/m3
Calculated total energy   -5.447 eV/atom

Dy3Ag2Rh: relaxed, PBE-GGA.

Cell and atoms, written as POSCAR:
```
Dy3Ag2Rh
1.0
-1.906 -5.461 0.169
6.277 -2.317 -4.111
2.778 2.303 6.680
Dy Rh Ag
6 2 4
Direct
0.142 0.570 0.280
0.138 0.070 0.280
0.499 0.750 0.000
0.858 0.430 0.720
0.862 0.930 0.720
0.501 0.250 0.000
0.998 0.750 0.000
0.002 0.250 0.000
0.320 0.909 0.636
0.680 0.091 0.364
0.684 0.591 0.364
0.316 0.409 0.636
```

Formation energy from the elements   -0.34 eV/atom
Density   8739 kg/m3
Calculated total energy   -4.820 eV/atom
Distance to the lowest polymorph of the same formula   0.93 eV per formula unit